# PBE Zn2FeBi, optimized geometry
# Spin magnetization = 2.7 μB per formula unit
# VASP energy = -3.24 eV per atom
data_Zn2FeBi
_chemical_formula_sum 'Zn8 Fe4 Bi4'
_cell_length_a 6.669
_cell_length_b 6.669
_cell_length_c 6.669
_cell_angle_alpha 90.00
_cell_angle_beta 90.00
_cell_angle_gamma 90.00
_space_group_name_H-M_alt 'F -4 3 m'
_space_group_IT_number 216
_space_group_name_Hall 'F -4 2 3'
loop_
_atom_site_label
_atom_site_type_symbol
_atom_site_fract_x
_atom_site_fract_y
_atom_site_fract_z
Zn1 Zn 0.000 0.000 0.000
Zn2 Zn 0.250 0.250 0.250
Fe1 Fe 0.000 0.000 0.500
Bi1 Bi 0.250 0.250 0.750